[1]
Computed, not measured: AlRhBr2 at its PBEsol-relaxed geometry at the meta-GGA SCAN level of DFT.

## Properties
Crystal system: tetragonal
Energy relative to the lowest polymorph listed for this composition (meV/atom): 0
Formation energy without anion corrections (meV per atom): 206

extended XYZ file:
```
4
Lattice="-2.287 0.252 -4.201 -0.638 -4.090 2.403 -1.543 3.077 3.326" Properties=species:S:1:pos:R:3 pbc="T T T"
Br -0.772 1.538 1.663
Br -0.319 -2.045 1.201
Rh -2.234 -0.381 0.764
Al -1.144 0.126 -2.100
```

=====

[2]
Computed, not measured: Al2InBiPb at its PBEsol-relaxed geometry at the meta-GGA SCAN level of DFT.

## Properties
Crystal system: tetragonal
Formation energy (meV/atom): 743

extended XYZ file:
```
5
Lattice="5.280 0.000 0.000 0.000 5.280 0.000 0.000 0.000 5.574" Properties=species:S:1:pos:R:3 pbc="T T T"
Al 0.000 2.640 0.000
Al 2.640 0.000 0.000
In 0.000 0.000 2.787
Bi 2.640 2.640 2.787
Pb 0.000 0.000 0.000
```

=====

[3]
Computed, not measured: Ta2BeIr at its PBEsol-relaxed geometry at the meta-GGA SCAN level of DFT.

## Properties
Crystal system: tetragonal
Formation energy (meV/atom): -287

extended XYZ file:
```
4
Lattice="-2.383 2.833 1.244 -3.094 -2.164 -0.997 2.705 -1.917 3.417" Properties=species:S:1:pos:R:3 pbc="T T T"
Be -2.738 0.334 0.124
Ta -1.564 -1.874 1.272
Ta -1.208 0.625 2.392
Ir 0.000 0.000 0.000
```

=====

[4]
Computed, not measured: LiTl2Cd at its PBEsol-relaxed geometry at the meta-GGA SCAN level of DFT.

## Properties
Crystal system: monoclinic
Formation energy (meV/atom): -100

extended XYZ file:
```
4
Lattice="3.384 0.000 0.000 0.000 5.281 -0.263 -1.692 -1.832 5.290" Properties=species:S:1:pos:R:3 pbc="T T T"
Tl 1.692 3.187 4.824
Tl 1.692 0.592 2.639
Li 0.000 3.339 2.327
Cd 1.692 2.422 0.133
```

=====

[5]
Computed, not measured: SnBiSb2 at its PBEsol-relaxed geometry at the meta-GGA SCAN level of DFT.

## Properties
Crystal system: cubic
Formation energy without anion corrections (meV per atom): 230

extended XYZ file:
```
4
Lattice="5.364 0.000 0.000 2.682 4.645 0.000 2.682 1.548 4.380" Properties=species:S:1:pos:R:3 pbc="T T T"
Bi 5.364 3.097 2.190
Sb 8.046 4.645 3.285
Sb 2.682 1.548 1.095
Sn 0.000 0.000 0.000
```

=====

[6]
Computed, not measured: KSr3Pt at its PBEsol-relaxed geometry at the meta-GGA SCAN level of DFT.

## Properties
Crystal system: cubic
Formation energy (meV/atom): -461

extended XYZ file:
```
5
Lattice="-0.530 0.098 -5.986 -5.920 -0.904 0.509 -0.892 5.941 0.177" Properties=species:S:1:pos:R:3 pbc="T T T"
Pt 0.000 0.000 0.000
Sr -0.265 0.049 -2.993
Sr -0.446 2.970 0.088
Sr -2.960 -0.452 0.255
K -3.671 2.568 -2.650
```

=====

[7]
Computed, not measured: MgPtS3 at its PBEsol-relaxed geometry at the meta-GGA SCAN level of DFT.

## Properties
Crystal system: cubic
Formation energy without anion corrections (meV per atom): 793

extended XYZ file:
```
5
Lattice="4.579 0.000 0.000 0.000 4.579 0.000 0.000 0.000 4.579" Properties=species:S:1:pos:R:3 pbc="T T T"
S 2.289 0.000 0.000
S 0.000 2.289 0.000
S 0.000 0.000 2.289
Pt 2.289 2.289 2.289
Mg 0.000 0.000 0.000
```

=====

[8]
Computed, not measured: CdIn2Cu at its PBEsol-relaxed geometry at the meta-GGA SCAN level of DFT.

## Properties
Crystal system: orthorhombic
Formation energy (meV/atom): 53

extended XYZ file:
```
4
Lattice="2.980 0.000 0.000 0.000 4.416 0.000 -1.490 -2.208 6.291" Properties=species:S:1:pos:R:3 pbc="T T T"
In 0.000 0.000 0.739
In 0.000 2.208 3.226
Cd 0.000 0.000 5.497
Cu 1.490 0.000 3.120
```

=====

[9]
Computed, not measured: Sr4Ta2O9 at its PBEsol-relaxed geometry at the meta-GGA SCAN level of DFT.

## Properties
Crystal system: trigonal
Energy relative to the lowest polymorph listed for this composition (meV/atom): 43
Formation energy without anion corrections (meV per atom): -3226

extended XYZ file:
```
30
Lattice="5.883 0.000 0.000 -2.941 5.095 0.000 0.000 0.000 15.116" Properties=species:S:1:pos:R:3 pbc="T T T"
O 1.051 1.362 1.384
O 1.236 4.865 6.175
O 4.419 0.000 11.337
O 4.178 0.230 1.384
O 0.654 1.592 6.175
O -2.210 3.827 11.337
O 2.288 3.503 8.942
O -1.236 4.865 13.733
O 0.732 1.268 11.337
O -1.890 3.733 6.175
O 1.464 0.000 3.779
O 1.890 3.733 13.733
O -0.732 1.268 3.779
O 3.595 3.503 1.384
O -0.654 1.592 13.733
O 1.705 0.230 8.942
O 2.210 3.827 3.779
O 4.831 1.362 8.942
Sr 0.000 3.397 12.117
Sr 0.000 3.397 7.996
Sr 2.941 1.698 7.120
Sr 0.000 3.397 4.559
Sr 2.941 1.698 2.999
Sr 2.941 1.698 14.678
Sr 2.941 1.698 10.557
Sr 0.000 3.397 0.438
Ta 0.000 0.000 12.869
Ta 0.000 0.000 5.311
Ta 0.000 0.000 2.247
Ta 0.000 0.000 9.805
```

=====

[10]
Computed, not measured: ErMgPd at its PBEsol-relaxed geometry at the meta-GGA SCAN level of DFT.

## Properties
Crystal system: hexagonal
Formation energy (meV/atom): -789

extended XYZ file:
```
9
Lattice="-0.793 1.145 3.766 -6.237 -3.767 -0.168 6.137 -3.212 2.268" Properties=species:S:1:pos:R:3 pbc="T T T"
Pd -2.113 -3.582 0.644
Pd -0.396 0.572 1.883
Pd 2.012 -3.397 1.456
Mg -4.701 -2.839 -0.127
Mg -0.025 -1.719 0.517
Mg 4.625 -2.421 1.709
Er -0.456 -3.536 3.119
Er 2.128 -0.749 2.816
Er -2.962 -0.977 1.814
```

=====

[11]
Computed, not measured: InGaTe2 at its PBEsol-relaxed geometry at the meta-GGA SCAN level of DFT.

## Properties
Crystal system: trigonal
Formation energy without anion corrections (meV per atom): 45

extended XYZ file:
```
4
Lattice="-1.999 1.940 -2.480 0.648 -0.413 -3.650 -7.083 -6.777 -2.396" Properties=species:S:1:pos:R:3 pbc="T T T"
Te -3.506 -0.840 -6.244
Te -4.928 -4.410 -2.281
In 0.000 0.000 0.000
Ga -4.217 -2.625 -4.263
```

=====

[12]
Computed, not measured: InHg5 at its PBEsol-relaxed geometry at the meta-GGA SCAN level of DFT.

## Properties
Crystal system: hexagonal
Formation energy (meV/atom): 14
Energy relative to the lowest polymorph listed for this composition (meV/atom): 0

extended XYZ file:
```
6
Lattice="5.121 0.000 0.000 0.000 5.674 0.000 0.000 -2.837 4.913" Properties=species:S:1:pos:R:3 pbc="T T T"
Hg 2.561 2.837 1.638
Hg 0.000 -1.885 3.265
Hg 0.000 3.770 0.000
Hg 2.561 0.000 3.276
Hg 0.000 0.952 1.648
In 2.561 0.000 0.000
```

=====

[13]
Computed, not measured: TaAg2Br at its PBEsol-relaxed geometry at the meta-GGA SCAN level of DFT.

## Properties
Crystal system: cubic
Energy relative to the lowest polymorph listed for this composition (meV/atom): 935
Formation energy without anion corrections (meV per atom): 1195

extended XYZ file:
```
4
Lattice="4.754 0.000 0.000 2.377 4.117 0.000 2.377 1.372 3.882" Properties=species:S:1:pos:R:3 pbc="T T T"
Br 0.000 0.000 0.000
Ag 7.132 4.117 2.911
Ag 2.377 1.372 0.970
Ta 4.754 2.745 1.941
```

=====

[14]
Computed, not measured: Tl5Cd4 at its PBEsol-relaxed geometry at the meta-GGA SCAN level of DFT.

## Properties
Crystal system: hexagonal
Formation energy (meV/atom): 84
Energy relative to the lowest polymorph listed for this composition (meV/atom): 12

extended XYZ file:
```
18
Lattice="6.297 0.000 0.000 0.000 9.195 0.000 0.000 -4.598 7.963" Properties=species:S:1:pos:R:3 pbc="T T T"
Cd 0.000 0.000 0.000
Cd 4.723 2.924 5.064
Cd 4.723 3.348 0.000
Cd 1.574 5.847 0.000
Cd 3.148 0.000 0.000
Cd 4.723 -1.674 2.899
Cd 1.574 1.674 2.899
Cd 1.574 -2.924 5.064
Tl 1.574 2.740 0.000
Tl 3.148 0.000 5.309
Tl 4.723 -3.227 5.590
Tl 0.000 0.000 5.309
Tl 0.000 4.598 2.654
Tl 3.148 4.598 2.654
Tl 4.723 6.455 0.000
Tl 1.574 -1.370 2.373
Tl 1.574 3.227 5.590
Tl 4.723 1.370 2.373
```

=====

[15]
Computed, not measured: Li2HfZrZn at its PBEsol-relaxed geometry at the meta-GGA SCAN level of DFT.

## Properties
Crystal system: tetragonal
Formation energy (meV/atom): 1339

extended XYZ file:
```
5
Lattice="4.915 0.000 0.000 0.000 4.915 0.000 0.000 0.000 4.983" Properties=species:S:1:pos:R:3 pbc="T T T"
Hf 0.000 0.000 2.491
Zr 0.000 0.000 0.000
Zn 2.458 2.458 2.491
Li 2.458 0.000 0.000
Li 0.000 2.458 0.000
```

=====

[16]
Computed, not measured: Ba2SrHg2 at its PBEsol-relaxed geometry at the meta-GGA SCAN level of DFT.

## Properties
Crystal system: tetragonal
Formation energy (meV/atom): -538
Energy relative to the lowest polymorph listed for this composition (meV/atom): 0

extended XYZ file:
```
10
Lattice="4.428 0.000 0.000 0.000 9.297 0.000 0.000 0.000 9.297" Properties=species:S:1:pos:R:3 pbc="T T T"
Ba 2.214 6.059 7.887
Ba 2.214 3.239 1.410
Ba 2.214 7.887 3.239
Ba 2.214 1.410 6.059
Hg 0.000 7.975 5.971
Hg 0.000 1.322 3.327
Hg 0.000 5.971 1.322
Hg 0.000 3.327 7.975
Sr 0.000 4.649 4.649
Sr 0.000 0.000 0.000
```

=====

[17]
Computed, not measured: LiCrOs2 at its PBEsol-relaxed geometry at the meta-GGA SCAN level of DFT.

## Properties
Crystal system: orthorhombic
Formation energy (meV/atom): 183
Energy relative to the lowest polymorph listed for this composition (meV/atom): 124

extended XYZ file:
```
4
Lattice="-2.414 -1.430 -0.291 1.459 -0.627 4.659 -2.121 3.768 -0.921" Properties=species:S:1:pos:R:3 pbc="T T T"
Li -1.060 1.884 -0.460
Cr -1.207 -0.715 -0.145
Os -0.379 0.254 1.900
Os -2.698 1.457 1.548
```

=====

[18]
Computed, not measured: TaPd3Ru at its PBEsol-relaxed geometry at the meta-GGA SCAN level of DFT.

## Properties
Crystal system: cubic
Formation energy (meV/atom): 1390

extended XYZ file:
```
5
Lattice="-2.264 -4.079 0.176 -0.108 -0.141 -4.665 4.081 -2.266 -0.026" Properties=species:S:1:pos:R:3 pbc="T T T"
Ta 0.000 0.000 0.000
Pd -0.054 -0.071 -2.332
Pd -1.132 -2.039 0.088
Pd 2.041 -1.133 -0.013
Ru 0.854 -3.243 -2.257
```

=====

[19]
Computed, not measured: CaAl4P at its PBEsol-relaxed geometry at the meta-GGA SCAN level of DFT.

## Properties
Crystal system: cubic
Formation energy (meV/atom): 100

extended XYZ file:
```
6
Lattice="5.435 0.000 0.000 2.717 4.706 0.000 2.717 1.569 4.437" Properties=species:S:1:pos:R:3 pbc="T T T"
Al 5.435 3.138 3.883
Al 4.076 2.353 1.664
Al 6.794 2.353 1.664
Al 5.435 4.707 1.664
Ca 8.152 4.706 3.328
P 0.000 0.000 0.000
```

=====

[20]
Computed, not measured: K2SrBr at its PBEsol-relaxed geometry at the meta-GGA SCAN level of DFT.

## Properties
Crystal system: tetragonal
Energy relative to the lowest polymorph listed for this composition (meV/atom): 0
Formation energy without anion corrections (meV per atom): -849

extended XYZ file:
```
4
Lattice="-0.959 -3.789 0.885 0.992 0.643 3.830 -10.505 3.170 2.187" Properties=species:S:1:pos:R:3 pbc="T T T"
K -3.453 1.042 0.719
K -7.051 2.128 1.468
Br -5.236 0.012 3.451
Sr 0.016 -1.573 2.357
```

=====

| no. | E (eV/atom) | magnetization (μB/f.u.) |
| --- | --- | --- |
| 1 | -19.9049 | 0.00 |
| 2 | -39.9067 | 0.00 |
| 3 | -52.4423 | 0.00 |
| 4 | -44.4807 | 0.00 |
| 5 | -47.0257 | 0.00 |
| 6 | -29.5302 | 0.03 |
| 7 | -20.0167 | 0.00 |
| 8 | -28.0432 | 0.00 |
| 9 | -21.7823 | 0.00 |
| 10 | -30.1520 | 0.00 |
| 11 | -31.0136 | 0.00 |
| 12 | -62.3550 | 0.00 |
| 13 | -35.9996 | 1.36 |
| 14 | -53.6329 | 0.00 |
| 15 | -20.9942 | 1.54 |
| 16 | -48.0799 | 0.00 |
| 17 | -40.9506 | 0.00 |
| 18 | -38.5562 | 2.15 |
| 19 | -8.4113 | 0.00 |
| 20 | -15.4469 | 0.05 |